No. 1
The following is a PBE-GGA calculation of a geometry-optimized Pm3Nd5Er4 structure, from Alexandria via LeMat-Bulk.

The structure belongs to space group C2/m (No. 12); the cell edges are 16.292, 5.991 and 9.350 Å and the angles 90.00°, 116.30° and 90.00°. Symmetry generates all atoms from Pm at (0.000, 0.000, 0.000), Pm at (0.208, 0.500, 0.228), Nd at (0.000, 0.500, 0.000), Nd at (0.077, 0.000, 0.700), Nd at (0.174, 0.000, 0.385), Er at (0.081, 0.500, 0.441) and Er at (0.213, 0.500, 0.877).

The total moment comes out at 0.0 μB per cell.



No. 2
The following is a PBE-GGA calculation of a geometry-optimized PmNdEr4 structure, from Alexandria via LeMat-Bulk.

The structure belongs to space group P2/m (No. 10); the cell edges are 3.564, 5.018 and 10.670 Å and the angles 90.00°, 90.30° and 90.00°. Symmetry generates all atoms from Pm at (0.000, 0.000, 0.000), Nd at (0.500, 0.500, 0.500), Er at (0.000, 0.000, 0.331) and Er at (0.500, 0.500, 0.167).

The total moment comes out at 0.0 μB per cell. As for the energy above the most stable polymorph in this dataset: 0.0 meV/atom.



No. 3
The following is a PBE-GGA calculation of a geometry-optimized Pm3Nd6Er2 structure, from Alexandria via LeMat-Bulk.

The structure belongs to space group R-3m (No. 166, hexagonal axes); the cell edges are 3.6408, 3.6408 and 97.9768 Å and the angles 90.00°, 90.00° and 120.00°. Symmetry generates all atoms from Pm at (0.0000, 0.0000, 0.0000), Pm at (0.0000, 0.0000, 0.2721), Nd at (0.0000, 0.0000, 0.0920), Nd at (0.0000, 0.0000, 0.1822), Nd at (0.0000, 0.0000, 0.3640) and Er at (0.0000, 0.0000, 0.4549).

The total moment comes out at 0.0 μB per cell. As for the energy above the most stable polymorph in this dataset: 0.0 meV/atom.



No. 4
The following is a PBE-GGA calculation of a geometry-optimized Pm15Nd4Er structure, from Alexandria via LeMat-Bulk.

The structure belongs to space group P4/mmm (No. 123); the cell edges are 5.164, 5.164 and 25.782 Å and the angles 90.00°, 90.00° and 90.00°. Symmetry generates all atoms from Pm at (0.000, 0.000, 0.000), Pm at (0.000, 0.000, 0.198), Pm at (0.000, 0.000, 0.400), Pm at (0.000, 0.500, 0.098), Pm at (0.000, 0.500, 0.299), Pm at (0.000, 0.500, 0.500), Nd at (0.500, 0.500, 0.199), Nd at (0.500, 0.500, 0.400) and Er at (0.500, 0.500, 0.000).

The total moment comes out at 0.0 μB per cell.



No. 5
The following is a PBE-GGA calculation of a geometry-optimized Pm2Nd7Er2 structure, from Alexandria via LeMat-Bulk.

The structure belongs to space group C2/m (No. 12); the cell edges are 11.618, 11.557 and 6.129 Å and the angles 90.00°, 112.16° and 90.00°. Symmetry generates all atoms from Pm at (0.227, 0.000, 0.097), Nd at (0.000, 0.000, 0.500), Nd at (0.075, 0.500, 0.300), Nd at (0.182, 0.230, 0.679) and Er at (0.000, 0.218, 0.000).

The total moment comes out at 0.0 μB per cell. As for the energy above the most stable polymorph in this dataset: 38.1 meV/atom.



No. 6
The following is a PBE-GGA calculation of a geometry-optimized PmNd4Er structure, from Alexandria via LeMat-Bulk.

The structure belongs to space group Cmcm (No. 63); the cell edges are 7.154, 12.002 and 9.786 Å and the angles 90.00°, 90.00° and 90.00°. Symmetry generates all atoms from Pm at (0.000, 0.184, 0.250), Nd at (0.000, 0.318, 0.573), Nd at (0.216, 0.426, 0.250) and Er at (0.000, 0.000, 0.000).

The total moment comes out at 0.0 μB per cell. As for the energy above the most stable polymorph in this dataset: 210.3 meV/atom.



No. 7
The following is a PBE-GGA calculation of a geometry-optimized PmNd4Er6 structure, from Alexandria via LeMat-Bulk.

The structure belongs to space group I-42m (No. 121); the cell edges are 7.772, 7.772 and 12.945 Å and the angles 90.00°, 90.00° and 90.00°. Symmetry generates all atoms from Pm at (0.000, 0.000, 0.000), Nd at (0.174, 0.174, 0.425), Er at (0.000, 0.500, 0.000) and Er at (0.248, 0.248, 0.684).

The total moment comes out at 0.0 μB per cell. As for the energy above the most stable polymorph in this dataset: 153.3 meV/atom.



No. 8
The following is a PBE-GGA calculation of a geometry-optimized Pm3Nd4Er3 structure, from Alexandria via LeMat-Bulk.

The structure belongs to space group Amm2 (No. 38); the cell edges are 3.835, 13.359 and 13.301 Å and the angles 90.00°, 90.00° and 90.00°. Symmetry generates all atoms from Pm at (0.000, 0.000, 0.000), Pm at (0.500, 0.247, 0.582), Nd at (0.500, 0.000, 0.203), Nd at (0.500, 0.000, 0.460), Nd at (0.500, 0.130, 0.830), Er at (0.000, 0.000, 0.662) and Er at (0.000, 0.169, 0.332).

The total moment comes out at 0.0 μB per cell.



No. 9
The following is a PBE-GGA calculation of a geometry-optimized PmNd7Er12 structure, from Alexandria via LeMat-Bulk.

The structure belongs to space group Im-3m (No. 229); the cell edges are 11.265, 11.265 and 11.265 Å and the angles 90.00°, 90.00° and 90.00°. Symmetry generates all atoms from Pm at (0.000, 0.000, 0.000), Nd at (0.000, 0.000, 0.500), Nd at (0.250, 0.250, 0.250) and Er at (0.000, 0.249, 0.249).

The total moment comes out at 0.0 μB per cell. As for the energy above the most stable polymorph in this dataset: 413.8 meV/atom.



No. 10
The following is a PBE-GGA calculation of a geometry-optimized Pm2Nd12Er5 structure, from Alexandria via LeMat-Bulk.

The structure belongs to space group C2/m (No. 12); the cell edges are 18.054, 11.749 and 6.245 Å and the angles 90.00°, 102.51° and 90.00°. Symmetry generates all atoms from Pm at (0.000, 0.227, 0.000), Nd at (0.057, 0.500, 0.273), Nd at (0.104, 0.248, 0.615), Nd at (0.122, 0.000, 0.999), Nd at (0.198, 0.260, 0.200), Er at (0.000, 0.000, 0.500), Er at (0.178, 0.500, 0.858) and Er at (0.214, 0.000, 0.550).

The total moment comes out at 0.0 μB per cell. As for the energy above the most stable polymorph in this dataset: 0.0 meV/atom.



No. 11
The following is a PBE-GGA calculation of a geometry-optimized PmNd5Er4 structure, from Alexandria via LeMat-Bulk.

The structure belongs to space group C2/m (No. 12); the cell edges are 18.696, 3.614 and 10.206 Å and the angles 90.00°, 106.33° and 90.00°. Symmetry generates all atoms from Pm at (0.000, 0.000, 0.000), Nd at (0.000, 0.000, 0.500), Nd at (0.101, 0.500, 0.804), Nd at (0.200, 0.000, 0.601), Er at (0.101, 0.500, 0.297) and Er at (0.200, 0.000, 0.100).

The total moment comes out at 0.0 μB per cell. As for the energy above the most stable polymorph in this dataset: 0.0 meV/atom.



No. 12
The following is a PBE-GGA calculation of a geometry-optimized Pm5NdEr2 structure, from Alexandria via LeMat-Bulk.

The structure belongs to space group Pbam (No. 55); the cell edges are 7.233, 14.468 and 5.107 Å and the angles 90.00°, 90.00° and 90.00°. Symmetry generates all atoms from Pm at (0.000, 0.000, 0.000), Pm at (0.001, 0.250, 0.000), Pm at (0.249, 0.875, 0.500), Nd at (0.000, 0.500, 0.000) and Er at (0.249, 0.625, 0.500).

The total moment comes out at 0.0 μB per cell. As for the energy above the most stable polymorph in this dataset: 0.0 meV/atom.



Number 1: DFT formation energy 5.07 kcal/mol of atoms, V 34.09 Å³/atom. Number 2: DFT formation energy 0.44 kcal/mol of atoms, V 31.80 Å³/atom. Number 3: DFT formation energy 0.34 kcal/mol of atoms, V 34.08 Å³/atom. Number 4: DFT formation energy 0.35 kcal/mol of atoms, V 34.37 Å³/atom. Number 5: DFT formation energy 3.10 kcal/mol of atoms, V 34.64 Å³/atom. Number 6: DFT formation energy 5.22 kcal/mol of atoms, V 35.01 Å³/atom. Number 7: DFT formation energy 10.57 kcal/mol of atoms, V 35.55 Å³/atom. Number 8: DFT formation energy 2.17 kcal/mol of atoms, V 34.07 Å³/atom. Number 9: DFT formation energy 14.86 kcal/mol of atoms, V 35.74 Å³/atom. Number 10: DFT formation energy 2.27 kcal/mol of atoms, V 34.03 Å³/atom. Number 11: DFT formation energy 0.38 kcal/mol of atoms, V 33.08 Å³/atom. Number 12: DFT formation energy 0.32 kcal/mol of atoms, V 33.40 Å³/atom.